Below is a relaxed TlFe2Os crystal, with properties calculated at the GGA-PBEsol level.

The calculated formation energy is 621 meV per atom. The total energy is -7.573 eV/atom.

The space group is R-3m (No. 166, hexagonal axes) and the conventional cell measures 2.7999, 2.7999 and 25.7680 Å, with angles of 90.00, 90.00 and 120.00 degrees. The distinct sites, in fractional coordinates, are Tl at (0.0000, 0.0000, 0.0000), Fe at (0.0000, 0.0000, 0.2436) and Os at (0.0000, 0.0000, 0.5000).

=====

Below is a relaxed TmSnAu crystal, with properties calculated at the GGA-PBEsol level.

The calculated formation energy is -843 meV per atom. The total energy is -5.204 eV/atom.

The space group is P6_3mc (No. 186) and the conventional cell measures 4.6009, 4.6009 and 7.2469 Å, with angles of 90.00, 90.00 and 120.00 degrees. The distinct sites, in fractional coordinates, are Tm at (0.0000, 0.0000, 0.0000), Sn at (0.3333, 0.6667, 0.2727) and Au at (0.3333, 0.6667, 0.6688).